Mn2AgHg | Alexandria | PBE-GGA | relaxed; VASP energy = -0.3658 Ry per atom; Fermi-level density of states = 2.643 states/eV/f.u.; M_tot = 1.958 μB per atom
1.0
4.863 -0.005 0.011
3.931 2.863 0.011
0.917 0.298 5.109
Hg Mn Ag
1 2 1
Direct
0.750 0.750 0.750
0.501 0.501 0.495
0.999 0.999 0.005
0.250 0.250 0.250

Mn2AgHg | Alexandria | PBE-GGA | relaxed; VASP energy = -0.3722 Ry per atom; Fermi-level density of states = 1.961 states/eV/f.u.; M_tot = 1.736 μB per atom
1.0
2.945 0.000 0.000
0.000 2.945 0.000
0.000 0.000 7.860
Mn Hg Ag
2 1 1
Direct
0.500 0.500 0.236
0.000 0.000 0.022
0.500 0.500 0.765
0.000 0.000 0.476

Mn2NbAgHg | Alexandria | PBE-GGA | relaxed; VASP energy = -0.3530 Ry per atom; Fermi-level density of states = 4.228 states/eV/f.u.; M_tot = 2.119 μB per atom
1.0
-2.064 4.498 -0.209
-4.511 -1.983 1.859
1.509 0.907 4.630
Mn Hg Ag Nb
2 1 1 1
Direct
0.500 0.000 0.000
0.000 0.000 0.500
0.000 0.000 0.000
0.500 0.500 0.500
0.000 0.500 0.000

MnAgHgP2 | Alexandria | PBE-GGA | relaxed; VASP energy = -0.2448 Ry per atom; Fermi-level density of states = 3.147 states/eV/f.u.; M_tot = 0.836 μB per atom
1.0
4.980 0.000 0.000
0.000 5.049 0.000
0.000 0.000 4.980
P Ag Hg Mn
2 1 1 1
Direct
0.000 0.000 0.500
0.500 0.000 0.000
0.500 0.500 0.500
0.000 0.000 0.000
0.000 0.500 0.000

MnAgHgPd | Alexandria | PBE-GGA | relaxed; VASP energy = -0.3191 Ry per atom; Fermi-level density of states = 2.122 states/eV/f.u.; M_tot = 1.045 μB per atom
1.0
-2.712 -3.218 -1.899
-1.745 -3.383 2.613
-4.514 -0.076 0.965
Pd Ag Mn Hg
1 1 1 1
Direct
0.750 0.750 0.750
0.250 0.250 0.250
0.000 0.000 0.000
0.500 0.500 0.500

MnAgHg2Rh | Alexandria | PBE-GGA | relaxed; VASP energy = -0.2116 Ry per atom; Fermi-level density of states = 7.610 states/eV/f.u.; M_tot = 0.878 μB per atom
1.0
-3.288 -2.250 2.983
2.938 -3.880 0.311
2.230 2.007 3.971
Rh Hg Ag Mn
1 2 1 1
Direct
0.500 0.500 0.500
0.000 0.000 0.500
0.500 0.000 0.000
0.000 0.500 0.000
0.000 0.000 0.000

MnAgHg2Ru | Alexandria | PBE-GGA | relaxed; VASP energy = -0.2610 Ry per atom; Fermi-level density of states = 3.333 states/eV/f.u.; M_tot = 0.716 μB per atom
1.0
5.246 0.000 0.000
0.000 4.518 0.000
0.000 0.000 5.246
Hg Ru Ag Mn
2 1 1 1
Direct
0.000 0.000 0.500
0.500 0.000 0.000
0.000 0.000 0.000
0.500 0.500 0.500
0.000 0.500 0.000

ScMnAgHg | Alexandria | PBE-GGA | relaxed; VASP energy = -0.3467 Ry per atom; Fermi-level density of states = 3.429 states/eV/f.u.; M_tot = 1.046 μB per atom
1.0
4.765 0.000 0.000
2.382 4.126 0.000
2.382 1.375 3.890
Hg Sc Mn Ag
1 1 1 1
Direct
0.000 0.000 0.000
0.750 0.750 0.750
0.250 0.250 0.250
0.500 0.500 0.500

SrMnAgHg2 | Alexandria | PBE-GGA | relaxed; VASP energy = -0.1819 Ry per atom; Fermi-level density of states = 3.802 states/eV/f.u.; M_tot = 0.724 μB per atom
1.0
5.162 0.000 0.000
0.000 5.813 0.000
0.000 0.000 5.162
Sr Mn Hg Ag
1 1 2 1
Direct
0.000 0.500 0.000
0.000 0.000 0.000
0.000 0.000 0.500
0.500 0.000 0.000
0.500 0.500 0.500

TiMnAgHg2 | Alexandria | PBE-GGA | relaxed; VASP energy = -0.2236 Ry per atom; Fermi-level density of states = 7.194 states/eV/f.u.; M_tot = 0.983 μB per atom
1.0
-2.760 -0.529 4.296
2.874 -4.033 1.351
3.068 2.969 2.337
Mn Hg Ti Ag
1 2 1 1
Direct
0.000 0.000 0.500
0.000 0.500 0.000
0.500 0.000 0.000
0.500 0.500 0.500
0.000 0.000 0.000

MnVAg2Hg | Alexandria | PBE-GGA | relaxed; VASP energy = -0.2648 Ry per atom; Fermi-level density of states = 6.398 states/eV/f.u.; M_tot = 1.589 μB per atom
1.0
-0.828 4.278 -2.431
-4.085 -2.105 -2.313
-2.918 1.559 3.736
V Ag Mn Hg
1 2 1 1
Direct
0.000 0.000 0.000
0.500 0.000 0.000
0.000 0.000 0.500
0.500 0.500 0.500
0.000 0.500 0.000

ZrMnAg2Hg | Alexandria | PBE-GGA | relaxed; VASP energy = -0.2727 Ry per atom; Fermi-level density of states = 5.658 states/eV/f.u.; M_tot = 0.477 μB per atom
1.0
-2.295 -3.215 3.169
0.299 -3.609 -3.444
4.504 -1.392 1.850
Zr Mn Ag Hg
1 1 2 1
Direct
0.500 0.500 0.500
0.000 0.500 0.000
0.000 0.000 0.500
0.500 0.000 0.000
0.000 0.000 0.000